Here is crystalline K2HgO2 at its relaxed geometry from the Open Quantum Materials Database. Energies are from PBE-GGA.

```
K2HgO2
1.0
10.219 0.000 0.000
0.000 5.927 0.000
0.000 0.000 6.458
K Hg O
8 4 8
direct
0.154 0.132 0.132
0.154 0.868 0.632
0.346 0.368 0.632
0.346 0.632 0.132
0.654 0.368 0.868
0.654 0.632 0.368
0.846 0.132 0.368
0.846 0.868 0.868
0.000 0.369 0.750
0.000 0.631 0.250
0.500 0.131 0.250
0.500 0.869 0.750
0.110 0.310 0.487
0.110 0.690 0.987
0.390 0.190 0.987
0.390 0.810 0.487
0.610 0.190 0.513
0.610 0.810 0.013
0.890 0.310 0.013
0.890 0.690 0.513
```

Results
final energy	-3.414	eV per atom
space-group type	No. 60

---

Here is crystalline K2Hg2O3 at its relaxed geometry from the Open Quantum Materials Database. Energies are from PBE-GGA.

```
K2Hg2O3
1.0
3.161 1.825 4.435
-3.161 1.825 4.435
0.000 -3.650 4.435
K Hg O
2 2 3
direct
0.000 0.000 0.000
0.500 0.500 0.500
0.250 0.250 0.250
0.750 0.750 0.750
0.000 0.000 0.500
0.000 0.500 0.000
0.500 0.000 0.000
```

Results
energy above the most stable polymorph in this dataset	0.1225	eV/atom
space-group type	No. 166

---

Here is crystalline K2Hg2O3 at its relaxed geometry from the Open Quantum Materials Database. Energies are from PBE-GGA.

```
K2Hg2O3
1.0
-3.827 3.827 3.827
3.827 -3.827 3.827
3.827 3.827 -3.827
K Hg O
4 4 6
direct
0.000 0.353 0.500
0.147 0.147 0.147
0.353 0.500 0.000
0.500 0.000 0.353
0.000 0.865 0.500
0.500 0.000 0.865
0.635 0.635 0.635
0.865 0.500 0.000
0.104 0.750 0.854
0.250 0.646 0.396
0.396 0.250 0.646
0.646 0.396 0.250
0.750 0.854 0.104
0.854 0.104 0.750
```

Results
energy above the most stable polymorph in this dataset	0.0000	eV/atom
space-group type	No. 199

---

Here is crystalline KHg3O at its relaxed geometry from the Open Quantum Materials Database. Energies are from PBE-GGA.

```
KHg3O
1.0
6.361 0.000 0.000
0.000 6.361 0.000
0.000 0.000 6.361
K Hg O
1 3 1
direct
0.000 0.000 0.000
0.000 0.000 0.500
0.000 0.500 0.000
0.500 0.000 0.000
0.500 0.500 0.500
```

Results
final energy	-0.807	eV per atom
space-group type	No. 221